[1]
Na3CdHg6, optimized geometry, DFT GGA-PBE; E above lowest polymorph = 0.00 eV per formula unit; total magnetization = 0.00 μB per cell; formation energy = -186 kJ/mol of formula units
1.0
8.728 0.000 0.000
0.000 5.357 0.000
-4.193 0.000 10.760
Na Cd Hg
6 2 12
Direct
0.050 0.250 0.379
0.137 0.750 0.227
0.283 0.250 0.981
0.717 0.750 0.019
0.863 0.250 0.773
0.950 0.750 0.621
0.460 0.250 0.567
0.540 0.750 0.433
0.032 0.750 0.932
0.170 0.250 0.674
0.244 0.750 0.524
0.333 0.750 0.828
0.355 0.250 0.276
0.436 0.750 0.140
0.564 0.250 0.860
0.645 0.750 0.724
0.667 0.250 0.172
0.756 0.250 0.476
0.830 0.750 0.326
0.968 0.250 0.068

[2]
SrPb3N, optimized geometry, DFT GGA-PBE; raw formation energy = 2020 meV/atom; E above lowest polymorph = 8.66 eV per formula unit; total magnetization = 0.04 μB per cell
1.0
6.162 0.000 0.000
0.000 6.162 0.000
0.000 0.000 6.162
Sr Pb N
1 3 1
Direct
0.000 0.000 0.000
0.000 0.000 0.500
0.000 0.500 0.000
0.500 0.000 0.000
0.500 0.500 0.500

[3]
BaSr2ZnPd, optimized geometry, DFT GGA-PBE; E above lowest polymorph = 0.12 eV per formula unit; total magnetization = 0.00 μB per cell; formation energy = -79 kJ/mol of formula units
1.0
5.902 0.000 0.000
0.000 5.902 0.000
0.000 0.000 6.192
Ba Sr Zn Pd
1 2 1 1
Direct
0.000 0.000 0.000
0.000 0.500 0.500
0.500 0.000 0.500
0.500 0.500 0.000
0.000 0.000 0.500

[4]
BaEuMgPb, optimized geometry, DFT GGA-PBE; total magnetization = 7.22 μB per cell; formation energy = -134 kJ/mol of formula units
1.0
0.000 4.162 4.162
4.162 0.000 4.162
4.162 4.162 0.000
Ba Eu Mg Pb
1 1 1 1
Direct
0.000 0.000 0.000
0.500 0.500 0.500
0.750 0.750 0.750
0.250 0.250 0.250

[5]
LaV3Re, optimized geometry, DFT GGA-PBE; E above lowest polymorph = 0.00 eV per formula unit; total magnetization = 0.00 μB per cell; formation energy = 350 kJ/mol of formula units
1.0
4.722 0.000 0.000
0.000 4.722 0.000
0.000 0.000 4.722
La V Re
1 3 1
Direct
0.000 0.000 0.000
0.000 0.500 0.500
0.500 0.000 0.500
0.500 0.500 0.000
0.500 0.500 0.500

[6]
MgIn2Se4, optimized geometry, DFT GGA-PBE; raw formation energy = -635 meV/atom; total magnetization = 0.00 μB per cell
1.0
13.050 0.000 0.000
0.000 3.957 0.000
0.000 0.000 13.622
Mg In Se
4 8 16
Direct
0.113 0.250 0.046
0.387 0.750 0.546
0.613 0.250 0.454
0.887 0.750 0.954
0.105 0.750 0.420
0.153 0.750 0.808
0.347 0.250 0.308
0.395 0.250 0.920
0.605 0.750 0.080
0.653 0.750 0.692
0.847 0.250 0.192
0.895 0.250 0.580
0.012 0.250 0.878
0.034 0.750 0.618
0.219 0.750 0.251
0.243 0.750 0.991
0.257 0.250 0.491
0.281 0.250 0.751
0.466 0.250 0.118
0.488 0.750 0.378
0.512 0.250 0.622
0.534 0.750 0.882
0.719 0.750 0.249
0.743 0.750 0.509
0.757 0.250 0.009
0.781 0.250 0.749
0.966 0.250 0.382
0.988 0.750 0.122

[7]
Pm5Y2Tl4, optimized geometry, DFT GGA-PBE; total magnetization = 0.00 μB per cell; formation energy = -13 kJ/mol of formula units
1.0
11.747 -1.816 0.000
11.747 1.816 0.000
-2.014 0.000 8.259
Pm Y Tl
5 2 4
Direct
0.000 0.000 0.000
0.324 0.324 0.550
0.376 0.376 0.018
0.624 0.624 0.982
0.676 0.676 0.450
0.229 0.229 0.818
0.771 0.771 0.182
0.089 0.089 0.644
0.471 0.471 0.671
0.529 0.529 0.329
0.911 0.911 0.356

[8]
CeScS4, optimized geometry, DFT GGA-PBE; raw formation energy = -1271 meV/atom; E above lowest polymorph = 0.71 eV per formula unit; total magnetization = 0.01 μB per cell
1.0
-4.455 4.455 4.113
4.455 -4.455 4.113
4.455 4.455 -4.113
Ce Sc S
2 2 8
Direct
0.375 0.625 0.750
0.625 0.375 0.250
0.125 0.875 0.250
0.875 0.125 0.750
0.122 0.675 0.447
0.271 0.325 0.947
0.325 0.271 0.447
0.325 0.878 0.053
0.675 0.122 0.947
0.675 0.729 0.553
0.729 0.675 0.053
0.878 0.325 0.553

[9]
Na2AgGe, optimized geometry, DFT GGA-PBE; total magnetization = 0.00 μB per cell; formation energy = 67 kJ/mol of formula units
1.0
1.555 0.898 10.785
-1.555 0.898 10.785
0.000 -1.796 10.785
Na Ag Ge
2 1 1
Direct
0.089 0.089 0.089
0.911 0.911 0.911
0.000 0.000 0.000
0.500 0.500 0.500

[10]
VHg, optimized geometry, DFT GGA-PBE; total magnetization = 0.00 μB per cell; formation energy = 86 kJ/mol of formula units
1.0
9.149 0.000 0.000
-4.575 7.924 0.000
0.000 0.000 3.092
V Hg
6 6
Direct
0.117 0.558 0.250
0.442 0.558 0.250
0.442 0.883 0.250
0.558 0.117 0.750
0.558 0.442 0.750
0.883 0.442 0.750
0.164 0.328 0.750
0.164 0.836 0.750
0.328 0.164 0.250
0.672 0.836 0.750
0.836 0.164 0.250
0.836 0.672 0.250

[11]
BaLiMn3, optimized geometry, DFT GGA-PBE; E above lowest polymorph = 4.58 eV per formula unit; total magnetization = 12.32 μB per cell; formation energy = 869 kJ/mol of formula units
1.0
5.632 0.000 0.000
0.000 5.632 0.000
0.000 0.000 5.632
Ba Li Mn
1 1 3
Direct
0.000 0.000 0.000
0.500 0.500 0.500
0.000 0.000 0.500
0.000 0.500 0.000
0.500 0.000 0.000

[12]
Tb5PmEr7, optimized geometry, DFT GGA-PBE; E above lowest polymorph = 0.05 eV per formula unit; total magnetization = 0.00 μB per cell; formation energy = 321 kJ/mol of formula units
1.0
-3.328 5.533 5.754
3.328 -5.533 5.754
3.328 5.533 -5.754
Tb Pm Er
5 1 7
Direct
0.000 0.000 0.000
0.230 0.269 0.496
0.230 0.734 0.961
0.773 0.269 0.039
0.773 0.734 0.504
0.203 0.703 0.500
0.084 0.253 0.831
0.422 0.253 0.169
0.503 0.503 0.000
0.506 0.006 0.500
0.582 0.751 0.831
0.810 0.310 0.500
0.920 0.751 0.169

[13]
LaPr6Sm8, optimized geometry, DFT GGA-PBE; E above lowest polymorph = 0.10 eV per formula unit; total magnetization = 0.00 μB per cell; formation energy = 209 kJ/mol of formula units
1.0
4.739 2.736 6.836
-4.739 2.736 6.836
0.000 -5.472 6.836
La Pr Sm
1 6 8
Direct
0.000 0.000 0.000
0.106 0.555 0.266
0.266 0.106 0.555
0.445 0.734 0.894
0.555 0.266 0.106
0.734 0.894 0.445
0.894 0.445 0.734
0.083 0.772 0.653
0.228 0.347 0.917
0.347 0.917 0.228
0.429 0.429 0.429
0.571 0.571 0.571
0.653 0.083 0.772
0.772 0.653 0.083
0.917 0.228 0.347

[14]
K2CuRe, optimized geometry, DFT GGA-PBE; E above lowest polymorph = 0.89 eV per formula unit; total magnetization = 1.09 μB per cell; formation energy = 435 kJ/mol of formula units
1.0
-1.354 3.059 6.348
1.354 -3.059 6.348
1.354 3.059 -6.348
K Cu Re
2 1 1
Direct
0.000 0.000 0.000
0.701 0.201 0.500
0.450 0.450 0.000
0.284 0.784 0.500

[15]
Na3Ca5Br12, optimized geometry, DFT GGA-PBE; raw formation energy = -1715 meV/atom; total magnetization = 0.00 μB per cell
1.0
-9.019 9.019 9.019
9.019 -9.019 9.019
9.019 9.019 -9.019
Na Ca Br
12 20 48
Direct
0.125 0.250 0.375
0.125 0.375 0.750
0.250 0.375 0.125
0.250 0.875 0.625
0.375 0.125 0.250
0.375 0.750 0.125
0.625 0.250 0.875
0.625 0.875 0.750
0.750 0.125 0.375
0.750 0.625 0.875
0.875 0.625 0.250
0.875 0.750 0.625
0.000 0.000 0.000
0.000 0.000 0.500
0.000 0.500 0.000
0.000 0.500 0.500
0.125 0.750 0.875
0.125 0.875 0.250
0.250 0.125 0.875
0.250 0.625 0.375
0.375 0.250 0.625
0.375 0.625 0.750
0.500 0.000 0.000
0.500 0.000 0.500
0.500 0.500 0.000
0.500 0.500 0.500
0.625 0.375 0.250
0.625 0.750 0.375
0.750 0.375 0.625
0.750 0.875 0.125
0.875 0.125 0.750
0.875 0.250 0.125
0.036 0.211 0.124
0.036 0.325 0.912
0.087 0.711 0.675
0.087 0.876 0.412
0.088 0.624 0.413
0.088 0.964 0.675
0.124 0.036 0.211
0.124 0.588 0.913
0.175 0.211 0.587
0.175 0.464 0.588
0.211 0.124 0.036
0.211 0.587 0.175
0.289 0.325 0.913
0.289 0.464 0.376
0.325 0.912 0.036
0.325 0.913 0.289
0.376 0.289 0.464
0.376 0.587 0.912
0.412 0.087 0.876
0.412 0.825 0.536
0.413 0.088 0.624
0.413 0.825 0.789
0.464 0.376 0.289
0.464 0.588 0.175
0.536 0.412 0.825
0.536 0.624 0.711
0.587 0.175 0.211
0.587 0.912 0.376
0.588 0.175 0.464
0.588 0.913 0.124
0.624 0.413 0.088
0.624 0.711 0.536
0.675 0.087 0.711
0.675 0.088 0.964
0.711 0.536 0.624
0.711 0.675 0.087
0.789 0.413 0.825
0.789 0.876 0.964
0.825 0.536 0.412
0.825 0.789 0.413
0.876 0.412 0.087
0.876 0.964 0.789
0.912 0.036 0.325
0.912 0.376 0.587
0.913 0.124 0.588
0.913 0.289 0.325
0.964 0.675 0.088
0.964 0.789 0.876

[16]
TeWC2, optimized geometry, DFT GGA-PBE; raw formation energy = 1211 meV/atom; total magnetization = 0.00 μB per cell
1.0
-2.655 2.655 4.783
2.655 -2.655 4.783
2.655 2.655 -4.783
Te W C
2 2 4
Direct
0.000 0.000 0.000
0.750 0.250 0.500
0.250 0.750 0.500
0.500 0.500 0.000
0.210 0.625 0.085
0.375 0.460 0.585
0.540 0.125 0.915
0.875 0.790 0.415

[17]
Nd4HgC, optimized geometry, DFT GGA-PBE; E above lowest polymorph = 0.00 eV per formula unit; total magnetization = 0.00 μB per cell; formation energy = -77 kJ/mol of formula units
1.0
2.635 -9.188 0.000
2.635 9.188 0.000
0.000 0.000 7.022
Nd Hg C
8 2 2
Direct
0.030 0.970 0.500
0.174 0.826 0.885
0.197 0.803 0.379
0.414 0.586 0.643
0.586 0.414 0.143
0.803 0.197 0.879
0.826 0.174 0.385
0.970 0.030 0.000
0.373 0.627 0.136
0.627 0.373 0.636
0.092 0.908 0.160
0.908 0.092 0.660

[18]
PmZnPt3, optimized geometry, DFT GGA-PBE; E above lowest polymorph = 0.59 eV per formula unit; total magnetization = 0.00 μB per cell; formation energy = -300 kJ/mol of formula units
1.0
5.882 0.000 0.000
-2.941 5.094 0.000
0.000 0.000 13.724
Pm Zn Pt
4 4 12
Direct
0.000 0.000 0.000
0.000 0.000 0.500
0.333 0.667 0.250
0.667 0.333 0.750
0.333 0.667 0.633
0.333 0.667 0.867
0.667 0.333 0.133
0.667 0.333 0.367
0.000 0.500 0.000
0.000 0.500 0.500
0.149 0.298 0.750
0.149 0.851 0.750
0.298 0.149 0.250
0.500 0.000 0.000
0.500 0.000 0.500
0.500 0.500 0.000
0.500 0.500 0.500
0.702 0.851 0.750
0.851 0.149 0.250
0.851 0.702 0.250

[19]
UCrS2, optimized geometry, DFT GGA-PBE; raw formation energy = -565 meV/atom; total magnetization = 2.01 μB per cell
1.0
1.991 1.150 7.607
-1.991 1.150 7.607
0.000 -2.299 7.607
U Cr S
1 1 2
Direct
0.000 0.000 0.000
0.500 0.500 0.500
0.398 0.398 0.398
0.602 0.602 0.602